## K2ZnIn (PBE-GGA)

Data for crystalline K2ZnIn at its relaxed geometry.

## Properties
E_tot   -1.362 eV per atom
V   151.03 Å³/cell

Cell: 5.9776 5.9776 5.9776 Å, 60.00 60.00 60.00°
Last column: nearest neighbours and their distance in Å.
Element x y z (fractional)
Zn 0.0000 0.0000 0.0000  8 K 3.66
K 0.2500 0.2500 0.2500  4 In 3.66, 4 Zn 3.66
K 0.7500 0.7500 0.7500  4 In 3.66, 4 Zn 3.66
In 0.5000 0.5000 0.5000  8 K 3.66